Here is an optimized crystal structure of SbPb from Alexandria. Energies are from PBE.

Results
symmetry: Amm2
Fermi-level density of states: 1.0 states/eV/f.u.
ΔE_f (raw): 0.0591 eV/atom
total DFT energy (no corrections): -3.856 eV/atom

Cell: 4.3233 5.5247 5.5247 Å, 104.42 90.00 90.00°
Positions (direct):
1 Sb 0.0000 0.0000 0.0000
2 Sb 0.0000 0.4326 0.4326
3 Pb 0.5000 0.3871 0.8561
4 Pb 0.5000 0.8561 0.3871